No. 1
First-principles (GGA-PBE) data for a relaxed Li2Ti3ZnO8 crystal, as listed in the Alexandria database.

Lattice parameters (Å, degrees): 5.9849 5.9849 14.5494 90.00 90.00 120.00
Closest atoms and distances in Å follow each position.
Space group R3m (No. 160, hexagonal axes)
Unique sites:
Li  0.0000  0.0000  0.0000 [3 per cell]  6 O 2.08-2.12
Li  0.0000  0.0000  0.3821 [3 per cell]  4 O 2.00-2.05
Ti  0.1696  0.3393  0.8327 [9 per cell]  6 O 1.92-2.06
Zn  0.0000  0.0000  0.6171 [3 per cell]  4 O 1.98-2.06
O  0.0000  0.0000  0.2412 [3 per cell]  3 Ti 2.02, 1 Li 2.05
O  0.0000  0.0000  0.7584 [3 per cell]  1 Zn 2.06, 3 Ti 2.06
O  0.0283  0.5142  0.7641 [9 per cell]  2 Ti 1.92, 2 Li 2.00-2.12
O  0.1807  0.3614  0.5738 [9 per cell]  1 Zn 1.98, 2 Ti 2.00, 1 Li 2.08

**Raw formation energy**: -2.6183 eV per atom
**Excess energy over the best structure of this formula in the dataset**: 0.036 eV per atom

=====

No. 2
First-principles (GGA-PBE) data for a relaxed Hg2BiPb5 crystal, as listed in the Alexandria database.

Lattice parameters (Å, degrees): 10.0896 9.4871 7.1123 90.00 134.75 90.00
Closest atoms and distances in Å follow each position.
Space group Cm (No. 8)
Unique sites:
Hg  0.0000  0.0000  0.0000 [2 per cell]  10 Pb 3.46-3.58, 2 Hg 3.56
Hg  0.9999  0.0000  0.4999 [2 per cell]  8 Pb 3.46-3.47, 2 Hg 3.56, 2 Bi 3.58
Bi  0.9997  0.5000  0.0002 [2 per cell]  10 Pb 3.46-3.56, 2 Hg 3.58
Pb  0.9997  0.5000  0.5004 [2 per cell]  8 Pb 3.46-3.47, 2 Bi 3.56, 2 Hg 3.58
Pb  0.2499  0.2499  0.0005 [4 per cell]  4 Hg 3.46-3.47, 2 Bi 3.46, 6 Pb 3.46-3.58
Pb  0.2500  0.2503  0.5006 [4 per cell]  4 Hg 3.46-3.47, 6 Pb 3.46-3.58, 2 Bi 3.46-3.47

**Excess energy over the best structure of this formula in the dataset**: 0.000 eV per atom

=====

No. 3
First-principles (GGA-PBE) data for a relaxed La3ScSi crystal, as listed in the Alexandria database.

Lattice parameters (Å, degrees): 5.7351 5.7351 5.7351 90.00 90.00 90.00
Closest atoms and distances in Å follow each position.
Space group Pm-3m (No. 221)
Unique sites:
La  0.0000  0.0000  0.5000 [3 per cell]  2 Si 2.87
Sc  0.5000  0.5000  0.5000 [1 per cell]  12 La 4.06
Si  0.0000  0.0000  0.0000 [1 per cell]  6 La 2.87

**Raw formation energy**: 0.1128 eV per atom
**Excess energy over the best structure of this formula in the dataset**: 0.000 eV per atom

=====

No. 4
First-principles (GGA-PBE) data for a relaxed KAlTc2 crystal, as listed in the Alexandria database.

Lattice parameters (Å, degrees): 3.3525 3.3525 7.6492 90.00 90.00 90.00
Closest atoms and distances in Å follow each position.
Space group P4/mmm (No. 123)
Unique sites:
K  0.0000  0.0000  0.0000 [1 per cell]  4 K 3.35, 8 Tc 3.60
Al  0.0000  0.0000  0.5000 [1 per cell]  8 Tc 2.62
Tc  0.5000  0.5000  0.3533 [2 per cell]  1 Tc 2.24

**Energy**: -5.828 eV per atom